An optimized crystal structure of CeNi2Pt4. Source: Alexandria via LeMat-Bulk, functional GGA-PBE.

Cell: 6.625 6.625 5.231 Å, 90.00 90.00 90.00°
Space group I4/mmm (No. 139)
Asymmetric unit:
1 Ce 0.000 0.000 0.000 [2 per cell]
2 Ni 0.000 0.500 0.250 [4 per cell]
3 Pt 0.206 0.206 0.500 [8 per cell]

Values from the calculation:
Calculated volume ... 229.59 Å³/cell
ρ ... 15.01 g cm⁻³
Electronic total energy ... -6.455 eV per atom

---

An optimized crystal structure of MgPPt2. Source: Alexandria via LeMat-Bulk, functional GGA-PBE.

Cell: 4.072 4.072 3.648 Å, 90.00 90.00 90.00°
Space group P4/mmm (No. 123)
Asymmetric unit:
1 Mg 0.000 0.000 0.000 [1 per cell]
2 P 0.500 0.500 0.000 [1 per cell]
3 Pt 0.000 0.500 0.500 [2 per cell]

Values from the calculation:
Calculated volume ... 60.50 Å³/cell
ρ ... 12.23 g cm⁻³
Electronic total energy ... -5.188 eV per atom

---

An optimized crystal structure of PmUAl. Source: Alexandria via LeMat-Bulk, functional GGA-PBE.

Cell: 13.787 3.665 6.170 Å, 90.00 90.00 90.00°
Space group Pnma (No. 62)
Asymmetric unit:
1 Pm 0.219 0.250 0.168 [4 per cell]
2 U 0.048 0.750 0.916 [4 per cell]
3 Al 0.062 0.750 0.406 [4 per cell]

Values from the calculation:
Calculated volume ... 311.75 Å³/cell
ρ ... 8.74 g cm⁻³
Electronic total energy ... -6.501 eV per atom